w.
A relaxed DyY2Tm5 crystal. Source: Alexandria via LeMat-Bulk, functional PBE-GGA.

a = 7.029 Å, b = 7.029 Å, c = 7.024 Å
α = 120.00°, β = 120.00°, γ = 90.01°
Fractional positions:
Tm 0.722 0.222 0.944
Y 0.722 0.222 0.444
Tm 0.222 0.222 0.944
Tm 0.722 0.722 0.444
Tm 0.222 0.722 0.944
Tm 0.722 0.722 0.944
Dy 0.222 0.222 0.444
Y 0.222 0.722 0.444

Summary:
The space group is No. 139. For the size of the total moment, the calculation gives 0.00 μB/atom.

x.
A relaxed DyY2Tm5 crystal. Source: Alexandria via LeMat-Bulk, functional PBE-GGA.

a = 8.952 Å, b = 16.557 Å, c = 10.699 Å
α = 90.03°, β = 89.98°, γ = 161.36°
Fractional positions:
Tm 0.425 0.682 0.750
Tm 0.315 0.027 0.589
Y 0.781 0.618 0.394
Y 0.781 0.618 0.106
Dy 0.755 0.190 0.250
Tm 0.315 0.027 0.912
Tm 0.527 0.326 0.916
Y 0.219 0.382 0.894
Tm 0.575 0.318 0.250
Dy 0.245 0.810 0.750
Tm 0.526 0.325 0.584
Tm 0.473 0.674 0.084
Y 0.219 0.382 0.606
Tm 0.474 0.675 0.416
Tm 0.685 0.973 0.411
Tm 0.685 0.973 0.088

Summary:
The space group is No. 2. For the size of the total moment, the calculation gives 0.00 μB/atom.

Calculated relative energies: w 0; x 178, given in meV per atom